# 1
Density functional theory data (GGA-PBE) for Mg2BiBBr after structural relaxation.

Lattice parameters (Å, degrees): 4.5958 4.5958 5.5655 90.00 90.00 90.00
Fractional positions:
Mg1 0.0000 0.5000 0.0000
Mg2 0.5000 0.0000 0.0000
Bi1 0.0000 0.0000 0.5000
B1 0.5000 0.5000 0.0000
Br1 0.5000 0.5000 0.5000

Values from the calculation:
Space group = P4/mmm
ρ = 4.92 Mg/m³
Size of the total moment = 0.0 μB per formula unit
E_form (uncorrected) = 0.396 eV/atom

=====

# 2
Density functional theory data (GGA-PBE) for CaLaSc2Os after structural relaxation.

Lattice parameters (Å, degrees): 5.2240 5.2240 5.5601 90.00 90.00 90.00
Fractional positions:
Ca1 0.0000 0.0000 0.0000
La1 0.5000 0.5000 0.0000
Sc1 0.0000 0.5000 0.5000
Sc2 0.5000 0.0000 0.5000
Os1 0.5000 0.5000 0.5000

Values from the calculation:
Space group = P4/mmm
ρ = 5.02 Mg/m³
Size of the total moment = 0.0 μB per formula unit
ΔE_f = -64 meV/atom

=====

What did the second record say?
Density functional theory data (GGA-PBE) for CaLaSc2Os after structural relaxation.

Lattice parameters (Å, degrees): 5.2240 5.2240 5.5601 90.00 90.00 90.00
Fractional positions:
Ca1 0.0000 0.0000 0.0000
La1 0.5000 0.5000 0.0000
Sc1 0.0000 0.5000 0.5000
Sc2 0.5000 0.0000 0.5000
Os1 0.5000 0.5000 0.5000

Values from the calculation:
Space group = P4/mmm
ρ = 5.02 Mg/m³
Size of the total moment = 0.0 μB per formula unit
ΔE_f = -64 meV/atom